Entry 1:
This record from Alexandria describes a relaxed Ac6TlAg crystal. The functional is PBE.

```
8
Lattice="5.447 0.000 1.640 -0.494 5.425 1.641 -0.194 -0.214 10.511" Properties=species:S:1:pos:R:3 pbc="T T T"
Ac 3.093 0.404 9.457
Ac 1.149 1.258 6.050
Ac 1.665 4.807 4.335
Ac 3.610 3.953 7.742
Ac 0.123 3.116 9.457
Ac 4.636 2.094 4.334
Tl 2.476 2.712 1.641
Ag 0.000 0.000 0.000
```

Output
**Crystal system**: tetragonal
**DFT formation energy**: -0.142 eV per atom

---

Entry 2:
This record from Alexandria describes a relaxed Ce3Hg2C crystal. The functional is PBE.

```
12
Lattice="6.434 -0.013 -0.023 -1.464 7.133 0.216 -1.464 -3.349 6.302" Properties=species:S:1:pos:R:3 pbc="T T T"
Hg 0.145 -1.375 5.149
Hg 0.145 6.558 0.542
Hg 3.361 5.147 1.346
Hg 3.361 -2.787 5.953
Ce 2.485 -1.681 3.140
Ce -0.857 0.675 2.832
Ce 2.359 2.118 1.979
Ce 4.364 3.096 3.663
Ce -0.732 3.567 0.108
Ce 1.147 1.653 4.516
C 3.361 0.651 3.957
C 0.145 3.120 2.538
```

Output
**Crystal system**: monoclinic
**DFT formation energy**: -0.112 eV per atom
**Polymorph energy (0 for the lowest one)**: 186 meV/atom

---

Entry 3:
This record from Alexandria describes a relaxed Y3TmTh2As6 crystal. The functional is PBE.

```
12
Lattice="4.172 0.000 0.000 0.000 8.304 0.302 -2.086 -2.387 8.746" Properties=species:S:1:pos:R:3 pbc="T T T"
As 2.086 -0.336 8.783
As 0.000 6.253 0.265
As 2.086 4.084 3.071
As 0.000 1.833 5.977
As 0.000 6.067 6.135
As 2.086 -0.151 2.913
Th 0.000 1.952 2.978
Th 2.086 3.964 6.070
Y 2.086 -0.214 5.883
Y 0.000 6.130 3.165
Y 2.086 4.152 0.151
Tm 2.086 0.000 0.000
```

Output
**Crystal system**: monoclinic
**DFT formation energy**: -1.499 eV per atom

---

Entry 4:
This record from Alexandria describes a relaxed DyHo3Pd12 crystal. The functional is PBE.

```
16
Lattice="4.108 0.000 0.000 0.000 4.108 0.000 0.000 0.000 16.528" Properties=species:S:1:pos:R:3 pbc="T T T"
Ho 0.000 0.000 12.389
Ho 0.000 0.000 4.139
Ho 0.000 0.000 8.264
Pd 2.054 2.054 0.000
Pd 0.000 2.054 14.452
Pd 2.054 0.000 2.076
Pd 0.000 2.054 10.328
Pd 2.054 2.054 8.264
Pd 2.054 0.000 14.452
Pd 2.054 0.000 10.328
Pd 2.054 2.054 4.137
Pd 2.054 0.000 6.200
Pd 0.000 2.054 2.076
Pd 0.000 2.054 6.200
Pd 2.054 2.054 12.390
Dy 0.000 0.000 0.000
```

Output
**Crystal system**: tetragonal
**DFT formation energy**: -0.886 eV per atom

---

Entry 5:
This record from Alexandria describes a relaxed MgHg2I crystal. The functional is PBE.

```
4
Lattice="3.472 0.000 0.000 1.736 3.007 0.000 1.736 1.002 11.819" Properties=species:S:1:pos:R:3 pbc="T T T"
Mg 0.000 0.000 0.000
Hg 5.208 3.007 2.869
Hg 1.736 1.002 8.950
I 3.472 2.005 5.910
```

Output
**Crystal system**: trigonal
**Polymorph energy (0 for the lowest one)**: 308 meV/atom
**ΔE_f (raw)**: 8.8 kJ per mole of atoms

---

Entry 6:
This record from Alexandria describes a relaxed Cr3Cd2 crystal. The functional is PBE.

```
5
Lattice="0.754 10.115 5.097 -1.686 10.626 3.620 -1.804 9.330 6.209" Properties=species:S:1:pos:R:3 pbc="T T T"
Cd -1.629 17.899 8.885
Cd -1.108 12.171 6.042
Cr 0.000 0.000 0.000
Cr -0.516 5.675 2.817
Cr -2.220 24.395 12.110
```

Output
**Crystal system**: trigonal
**DFT formation energy**: 0.518 eV per atom

---

Entry 7:
This record from Alexandria describes a relaxed Al6SiW2 crystal. The functional is PBE.

```
9
Lattice="3.438 0.000 -1.028 -0.758 6.059 -2.536 0.132 -0.280 6.703" Properties=species:S:1:pos:R:3 pbc="T T T"
Al 2.555 2.793 2.280
Al 1.992 0.897 0.400
Al 1.909 4.977 0.121
Al 0.257 2.987 0.859
Al 0.819 4.883 2.739
Al 0.902 0.803 3.018
W -0.427 4.792 -1.428
W 3.238 0.987 4.567
Si 1.340 3.030 -1.782
```

Output
**Crystal system**: monoclinic
**ΔE_f (raw)**: -4.8 kJ per mole of atoms

---

Entry 8:
This record from Alexandria describes a relaxed Bi6TeIr crystal. The functional is PBE.

```
16
Lattice="1.007 8.853 -0.515 -4.890 -3.195 -6.748 -4.453 -2.095 7.622" Properties=species:S:1:pos:R:3 pbc="T T T"
Te 0.504 4.427 -0.257
Te -2.445 -1.597 -3.374
Bi -6.294 0.410 -0.953
Bi -2.042 3.153 1.312
Bi -3.323 -0.553 1.346
Bi -6.040 -2.226 1.495
Bi -5.013 4.117 -0.987
Bi -2.667 5.446 3.433
Bi -4.307 0.453 4.816
Bi -5.669 -1.883 -3.074
Bi -2.808 1.332 -2.174
Bi -4.029 3.110 -4.457
Bi -5.528 2.231 2.533
Bi -2.296 5.789 -1.136
Ir -4.168 1.782 0.179
Ir -2.226 -1.048 3.811
```

Output
**Crystal system**: monoclinic
**ΔE_f (raw)**: 7.1 kJ per mole of atoms

---

Entry 9:
This record from Alexandria describes a relaxed ErUAgS4 crystal. The functional is PBE.

```
14
Lattice="-1.510 6.005 -5.137 0.167 -7.518 -2.536 -5.908 2.436 4.584" Properties=species:S:1:pos:R:3 pbc="T T T"
S -1.926 -1.651 -1.364
S -2.655 4.941 -2.674
S -2.582 1.443 -3.854
S -5.298 -1.225 -2.805
S -4.668 -0.520 0.764
S -1.953 2.149 -0.285
S -5.325 2.574 -1.726
S -4.596 -4.018 -0.416
Ag -5.270 1.046 2.771
Ag -1.980 -0.122 -5.861
Er -3.709 4.221 -0.277
Er -0.755 3.003 -2.569
U -2.871 -2.541 1.024
U -3.625 0.462 -1.545
```

Output
**Crystal system**: orthorhombic
**ΔE_f (raw)**: -130.0 kJ per mole of atoms

---

Entry 10:
This record from Alexandria describes a relaxed MgP2H12O11 crystal. The functional is PBE.

```
52
Lattice="7.811 0.004 -0.036 2.326 7.432 -0.043 0.791 3.379 8.567" Properties=species:S:1:pos:R:3 pbc="T T T"
H 0.857 2.473 5.321
H 3.261 6.215 5.217
H 3.822 4.355 4.187
H 8.582 7.330 0.390
H 5.468 5.702 1.766
H 9.562 5.832 1.075
H 8.154 6.704 0.373
H 1.366 4.983 7.413
H 8.092 3.912 1.918
H 5.459 5.114 6.722
H 2.835 6.904 6.570
H 2.345 3.485 8.097
H 7.105 6.460 4.301
H 8.309 5.793 5.072
H 10.071 8.342 3.167
H 8.754 7.557 3.567
H 7.666 4.600 3.271
H 3.269 2.368 1.116
H 7.659 8.447 7.372
H 2.774 4.111 8.115
H 1.461 0.680 1.503
H 2.619 5.023 3.416
H 2.173 3.258 4.921
H 9.466 10.135 6.985
Mg 5.787 2.663 2.436
Mg 5.140 8.152 6.052
O 5.227 3.354 4.335
O 6.943 2.806 6.076
O 9.094 8.410 3.191
O 4.682 4.340 1.576
O 3.985 8.010 2.412
O 7.540 3.782 2.708
O 6.246 6.475 6.911
O 3.388 7.033 5.779
O 6.919 9.254 6.264
O 1.834 2.405 5.297
O 6.585 2.226 0.544
O 4.343 8.589 7.943
O 8.572 5.574 6.880
O 2.933 4.788 4.320
O 8.087 7.797 8.038
O 2.840 3.019 0.450
O 5.700 7.461 4.153
O 6.005 6.574 1.768
O 2.356 5.242 1.608
O 4.009 1.562 2.223
O 7.995 6.027 4.168
O 4.922 4.242 6.719
P 5.566 7.775 2.679
P 3.451 4.463 0.679
P 5.362 3.041 5.809
P 7.477 6.352 7.808
```

Output
**VASP energy**: -288.659 eV per cell
**Crystal system**: triclinic

---

Entry 11:
This record from Alexandria describes a relaxed Ca8GaCu2 crystal. The functional is PBE.

```
11
Lattice="0.390 2.950 -4.964 6.755 -4.590 -0.763 -6.802 -4.278 -1.644" Properties=species:S:1:pos:R:3 pbc="T T T"
Ca 0.054 -2.756 -1.808
Ca -1.635 -5.914 -4.058
Ca -1.541 -0.030 -3.477
Ca 1.874 -5.995 -3.830
Ca 3.976 -1.601 -5.916
Ca -3.246 -1.435 -6.385
Ca 0.286 -3.233 -5.544
Ca 1.975 -0.110 -3.249
Cu 2.681 -3.067 -3.518
Cu -2.341 -2.951 -3.844
Ga 0.021 0.146 -0.273
```

Output
**Crystal system**: monoclinic
**DFT formation energy**: -0.077 eV per atom

---

Entry 12:
This record from Alexandria describes a relaxed Ca2Al2V crystal. The functional is PBE.

```
10
Lattice="-1.431 6.628 2.290 -6.036 -2.354 3.042 2.442 -0.904 4.144" Properties=species:S:1:pos:R:3 pbc="T T T"
Al -1.724 3.891 1.865
Al -2.396 0.036 1.419
Al -5.071 4.238 3.912
Al -5.743 0.383 3.467
V -3.733 2.137 2.666
V 0.000 0.000 0.000
Ca -3.092 -0.888 4.518
Ca -1.933 4.258 4.958
Ca -4.732 2.066 6.129
Ca -0.293 1.304 3.348
```

Output
**Crystal system**: tetragonal
**DFT formation energy**: 0.143 eV per atom

---

Entry 13:
This record from Alexandria describes a relaxed ZnRu2Rh crystal. The functional is PBE.

```
4
Lattice="4.734 -0.009 0.000 1.722 4.410 0.000 -3.228 -2.200 2.674" Properties=species:S:1:pos:R:3 pbc="T T T"
Ru 0.861 2.205 1.337
Ru 0.000 0.000 0.000
Rh 2.367 -0.005 1.337
Zn 3.228 2.200 0.000
```

Output
**Crystal system**: tetragonal
**DFT formation energy**: 0.052 eV per atom

---

Entry 14:
This record from Alexandria describes a relaxed MnTeS2N crystal. The functional is PBE.

```
5
Lattice="-1.882 4.192 -1.329 -2.150 -2.138 -3.700 -2.836 -0.634 2.014" Properties=species:S:1:pos:R:3 pbc="T T T"
S -0.941 2.096 -0.664
S -1.075 -1.069 -1.850
N -1.418 -0.317 1.007
Mn 0.000 0.000 0.000
Te -3.434 0.710 -1.507
```

Output
**Crystal system**: tetragonal
**Polymorph energy (0 for the lowest one)**: 0 meV/atom
**ΔE_f (raw)**: 28.2 kJ per mole of atoms

---

Entry 15:
This record from Alexandria describes a relaxed Re5P crystal. The functional is PBE.

```
6
Lattice="0.583 4.466 1.508 -3.613 -2.609 1.643 2.583 -1.469 3.350" Properties=species:S:1:pos:R:3 pbc="T T T"
Re 0.476 1.373 3.228
Re -2.430 -1.755 1.105
Re -0.923 -0.985 3.273
Re 0.392 3.003 1.014
Re -0.992 0.608 1.032
P 1.292 -0.734 1.675
```

Output
**Crystal system**: hexagonal
**DFT formation energy**: 0.163 eV per atom
**Polymorph energy (0 for the lowest one)**: 152 meV/atom

---

Entry 16:
This record from Alexandria describes a relaxed LaPr4Y2 crystal. The functional is PBE.

```
14
Lattice="12.280 -3.148 -1.580 -9.617 8.260 -1.580 0.023 0.044 6.945" Properties=species:S:1:pos:R:3 pbc="T T T"
Pr 1.371 -0.181 0.413
Pr -4.637 5.393 1.196
Pr 1.923 2.774 2.496
Pr -5.307 5.970 4.745
Pr 1.160 3.143 -0.976
Pr 7.089 -0.688 4.669
Pr -0.922 1.043 3.886
Pr 7.922 -0.951 1.272
Y -7.553 7.328 2.223
Y 10.322 -2.013 -1.250
Y 4.704 0.580 1.629
Y -2.209 4.209 5.102
La -1.252 4.284 1.721
La 4.216 1.406 -1.751
```

Output
**Crystal system**: monoclinic
**DFT formation energy**: 0.059 eV per atom
**Polymorph energy (0 for the lowest one)**: 0 meV/atom

---

Entry 17:
This record from Alexandria describes a relaxed Na2TiBr6 crystal. The functional is PBE.

```
18
Lattice="7.008 0.000 -0.456 0.000 7.440 0.000 0.275 0.000 10.322" Properties=species:S:1:pos:R:3 pbc="T T T"
Br 2.780 3.998 7.780
Br 2.363 5.855 0.514
Br 5.127 1.358 5.432
Br 1.136 0.278 7.476
Br 1.279 2.135 4.420
Br 5.797 5.078 9.368
Br 1.486 2.362 0.499
Br 2.155 6.082 4.434
Br 6.004 5.305 5.447
Br 4.920 1.585 9.353
Br 6.147 7.163 2.391
Br 4.503 3.443 2.087
Na 0.350 4.431 2.382
Na 3.291 0.710 2.552
Na 6.933 3.010 7.485
Na 3.992 6.730 7.315
Ti 0.138 0.000 5.161
Ti 3.504 3.720 -0.228
```

Output
**Crystal system**: monoclinic
**Polymorph energy (0 for the lowest one)**: 0 meV/atom
**ΔE_f (raw)**: -126.8 kJ per mole of atoms

---

Entry 18:
This record from Alexandria describes a relaxed Cs2K2Hg crystal. The functional is PBE.

```
10
Lattice="9.626 0.121 -2.352 -3.568 7.599 -4.384 -0.093 0.351 9.463" Properties=species:S:1:pos:R:3 pbc="T T T"
Cs -0.135 5.269 -1.280
Cs 1.393 2.081 4.811
Cs 6.100 2.802 4.007
Cs 4.572 5.990 -2.083
K 2.829 1.843 0.255
K -1.497 5.976 3.503
K 7.462 2.094 -0.776
K 3.135 6.228 2.473
Hg -3.233 6.901 -3.051
Hg -0.428 1.049 8.131
```

Output
**Crystal system**: monoclinic
**DFT formation energy**: -0.099 eV per atom
**Polymorph energy (0 for the lowest one)**: 0 meV/atom

---

Entry 19:
This record from Alexandria describes a relaxed SnHg2Pb6 crystal. The functional is PBE.

```
9
Lattice="3.427 0.000 0.000 -1.714 2.968 0.000 0.000 0.000 26.882" Properties=species:S:1:pos:R:3 pbc="T T T"
Hg 1.714 0.989 18.047
Hg 1.714 0.989 8.834
Pb 0.000 1.979 11.721
Pb 0.000 1.979 5.936
Pb 1.714 0.989 23.976
Pb 0.000 1.979 15.161
Pb 1.714 0.989 2.906
Pb 0.000 1.979 20.946
Sn 0.000 1.979 0.000
```

Output
**Crystal system**: hexagonal
**DFT formation energy**: 0.061 eV per atom
**Polymorph energy (0 for the lowest one)**: 31 meV/atom

---

Entry 20:
This record from Alexandria describes a relaxed Th6GeSb2As3 crystal. The functional is PBE.

```
12
Lattice="-3.781 1.959 0.793 -0.097 -3.438 8.030 6.415 7.265 0.808" Properties=species:S:1:pos:R:3 pbc="T T T"
As 1.452 -0.080 7.119
As -1.939 -0.739 4.411
As 1.085 5.866 2.512
Th -0.028 -2.513 6.077
Th 2.944 2.326 8.290
Th 2.565 8.300 3.554
Th -0.407 3.460 1.341
Th 3.033 4.217 4.046
Th -0.496 1.570 5.585
Sb 1.481 1.603 3.100
Sb 1.056 4.183 6.531
Ge -1.890 0.979 0.396
```

Output
**Crystal system**: monoclinic
**ΔE_f (raw)**: -109.0 kJ per mole of atoms

---

no.,M_tot (μB per formula unit)
1,0.00
2,0.90
3,0.00
4,0.00
5,0.00
6,3.13
7,0.00
8,0.00
9,2.00
10,0.00
11,0.00
12,3.35
13,0.00
14,1.41
15,0.00
16,0.00
17,0.00
18,0.00
19,0.00
20,0.00